The following is a DFT calculation (SCAN) of a crystal of MoHO3 relaxed with PBEsol.

Results
Calculated volume = 11.17 A^3/atom
Total magnetic moment = 0.3 μB per formula unit
Total energy = -261.80 eV/cell

```
data_MoHO3
_chemical_formula_sum 'Mo4 H4 O12'
_cell_length_a 16.1798
_cell_length_b 3.7769
_cell_length_c 3.7118
_cell_angle_alpha 90.00
_cell_angle_beta 99.99
_cell_angle_gamma 90.00
_space_group_name_H-M_alt 'C 1 2 1'
_space_group_IT_number 5
loop_
_space_group_symop_operation_xyz
'x,y,z'
'-x,y,-z'
'x+1/2,y+1/2,z'
'-x+1/2,y+1/2,-z'
loop_
_atom_site_label
_atom_site_type_symbol
_atom_site_fract_x
_atom_site_fract_y
_atom_site_fract_z
Mo1 Mo 0.0858 0.0000 0.3024
H1 H 0.2440 0.7723 0.4914
O1 O 0.0497 0.0003 0.7798
O2 O 0.0876 0.5006 0.3023
O3 O 0.2032 0.0038 0.4322
```